Here is an optimized crystal structure of KVI2F from Alexandria via LeMat-Bulk. Energies are from GGA+U.

Unit cell a=5.941 b=5.941 c=4.198 alpha=90.00 beta=90.00 gamma=90.00
Each line ends with the local moment (μB).
Sites, in units of the cell vectors:
I1 0.000 0.500 0.000  -0.01
I2 0.500 0.000 0.000  -0.01
K1 0.500 0.500 0.500  0.00
F1 0.000 0.000 0.500  0.03
V1 0.000 0.000 0.000  2.72

Results
The total energy is -4.14 eV/atom. As for the space group: P4/mmm, No. 123. As for the total moment: 0.60 μB per atom. The value obtained for the density of states at the Fermi level is 0.00 states/eV/f.u.